The following is a PBE-GGA calculation of an optimized crystal structure of AsOsCl2, from the Alexandria database.

Structure (POSCAR):
```
AsOsCl2
1.0
1.429 -2.729 0.000
1.429 2.729 0.000
0.000 0.000 11.792
As Os Cl
1 1 2
direct
0.000 0.000 0.000
0.000 0.000 0.500
0.500 0.500 0.339
0.500 0.500 0.661
```

space-group type	Cmmm, No. 65
relative energy among the computed polymorphs	590	meV/atom
crystal system	orthorhombic
density	6.1	g/cm3
uncorrected formation energy	0.52	eV per atom
magnetization	0.00	μB per formula unit
total DFT energy (no corrections)	-0.3218	Ry/atom



The following is a PBE-GGA calculation of an optimized crystal structure of Cs2NaIO4, from the Alexandria database.

Structure (POSCAR):
```
Cs2NaIO4
1.0
0.000 6.706 10.891
2.971 0.000 10.891
2.971 6.706 0.000
Cs Na I O
4 2 2 8
direct
0.054 0.054 0.696
0.304 0.304 0.946
0.696 0.696 0.054
0.946 0.946 0.304
0.125 0.125 0.125
0.875 0.875 0.875
0.375 0.375 0.375
0.625 0.625 0.625
0.027 0.641 0.539
0.292 0.539 0.641
0.359 0.973 0.708
0.461 0.708 0.973
0.539 0.292 0.027
0.641 0.027 0.292
0.708 0.461 0.359
0.973 0.359 0.461
```

space-group type	Fddd, No. 70
crystal system	orthorhombic
density	3.7	g/cm3
uncorrected formation energy	-0.92	eV per atom
magnetization	0.00	μB per formula unit
total DFT energy (no corrections)	-0.2916	Ry/atom